Record 1
# Ba2ScTc

A PBEsol-optimized structure of Ba2ScTc (SCAN, Alexandria via LeMat-Bulk).

a b c (Å): 3.651 5.900 11.623
angles (deg): 90.00 90.00 90.00
Fractional coordinates of all 8 atoms:
1 Ba 0.000 0.000 0.000
2 Ba 0.000 0.500 0.192
3 Ba 0.500 0.000 0.692
4 Ba 0.500 0.500 0.500
5 Sc 0.000 0.500 0.817
6 Sc 0.500 0.000 0.317
7 Tc 0.000 0.000 0.462
8 Tc 0.500 0.500 0.962

Summary:
V in Å³/atom: 31.29
Space group: Imm2 (44)
Formation enthalpy at 0 K in eV per formula unit: 2.15


Record 2
# HfSiSb2Te

A PBEsol-optimized structure of HfSiSb2Te (SCAN, Alexandria via LeMat-Bulk).

a b c (Å): 5.445 5.445 5.347
angles (deg): 90.00 90.00 90.00
Fractional coordinates of all 5 atoms:
1 Hf 0.000 0.000 0.000
2 Si 0.500 0.500 0.500
3 Sb 0.000 0.500 0.000
4 Sb 0.500 0.000 0.000
5 Te 0.000 0.000 0.500

Summary:
V in Å³/atom: 31.71
Space group: P4/mmm (123)
E_form (uncorrected) in meV per atom: 709


Record 3
# Co2AsAu

A PBEsol-optimized structure of Co2AsAu (SCAN, Alexandria via LeMat-Bulk).

a b c (Å): 2.745 2.745 25.978
angles (deg): 90.00 90.00 120.00
Fractional coordinates of all 12 atoms:
1 Co 0.000 0.000 0.000
2 Co 0.000 0.000 0.264
3 Co 0.333 0.667 0.667
4 Co 0.333 0.667 0.930
5 Co 0.667 0.333 0.333
6 Co 0.667 0.333 0.597
7 As 0.000 0.000 0.526
8 As 0.333 0.667 0.193
9 As 0.667 0.333 0.859
10 Au 0.000 0.000 0.752
11 Au 0.333 0.667 0.418
12 Au 0.667 0.333 0.085

Summary:
V in Å³/atom: 14.13
Space group: R3m (160)
Formation enthalpy at 0 K in eV per formula unit: 1.04